Record 1
Compound: CeH2F6
Source: the Alexandria database
Functional: PBE
Structure: relaxed

Calculated values
Crystal system = monoclinic
DOS(E_F) = 0.00 states/eV/f.u.
Offset from the most stable computed form = 0 meV per atom

CIF file:
```
data_CeH2F6
_cell_length_a 6.3216
_cell_length_b 6.3216
_cell_length_c 6.3288
_cell_angle_alpha 113.81
_cell_angle_beta 113.81
_cell_angle_gamma 79.10
_space_group_name_H-M_alt 'P 1'
_space_group_IT_number 1
_space_group_name_Hall 'P 1'
loop_
_atom_site_label
_atom_site_fract_x
_atom_site_fract_y
_atom_site_fract_z
Ce1 0.1716 0.8284 0.7500
Ce2 0.8284 0.1716 0.2500
H1 0.1180 0.4095 0.8392
H2 0.4095 0.1180 0.3392
H3 0.5905 0.8820 0.6608
H4 0.8820 0.5905 0.1608
F1 0.0630 0.1869 0.6746
F2 0.1490 0.5794 0.9456
F3 0.1869 0.0630 0.1746
F4 0.2088 0.4880 0.5198
F5 0.4206 0.8510 0.5544
F6 0.4880 0.2088 0.0198
F7 0.5120 0.7912 0.9802
F8 0.5794 0.1490 0.4456
F9 0.7912 0.5120 0.4802
F10 0.8131 0.9370 0.8254
F11 0.8510 0.4206 0.0544
F12 0.9370 0.8131 0.3254
```


Record 2
Compound: KCeH2F8
Source: the Alexandria database
Functional: PBE
Structure: relaxed

Calculated values
Crystal system = triclinic
DOS(E_F) = 4.16 states/eV/f.u.
Uncorrected energy = -58.6 eV/cell

CIF file:
```
data_KCeH2F8
_cell_length_a 3.9565
_cell_length_b 4.8887
_cell_length_c 9.3314
_cell_angle_alpha 89.60
_cell_angle_beta 89.28
_cell_angle_gamma 70.09
_space_group_name_H-M_alt 'P 1'
_space_group_IT_number 1
_space_group_name_Hall 'P 1'
loop_
_atom_site_label
_atom_site_fract_x
_atom_site_fract_y
_atom_site_fract_z
K1 0.0000 0.0000 0.0000
Ce1 0.0000 0.0000 0.5000
H1 0.0094 0.5049 0.7134
H2 0.9906 0.4951 0.2866
F1 0.0518 0.7497 0.3022
F2 0.0688 0.6932 0.7130
F3 0.3526 0.3912 0.0403
F4 0.4037 0.2631 0.4874
F5 0.5963 0.7369 0.5126
F6 0.6474 0.6088 0.9597
F7 0.9312 0.3068 0.2870
F8 0.9482 0.2503 0.6978
```


Record 3
Compound: SrCeH2F8
Source: the Alexandria database
Functional: PBE
Structure: relaxed

Calculated values
Crystal system = triclinic
DOS(E_F) = 5.87 states/eV/f.u.
Uncorrected energy = -64.6 eV/cell

CIF file:
```
data_SrCeH2F8
_cell_length_a 4.0817
_cell_length_b 4.4550
_cell_length_c 9.2788
_cell_angle_alpha 85.60
_cell_angle_beta 88.00
_cell_angle_gamma 66.43
_space_group_name_H-M_alt 'P 1'
_space_group_IT_number 1
_space_group_name_Hall 'P 1'
loop_
_atom_site_label
_atom_site_fract_x
_atom_site_fract_y
_atom_site_fract_z
Sr1 0.0000 0.0000 0.0000
Ce1 0.0000 0.0000 0.5000
H1 0.4862 0.5188 0.2761
H2 0.5138 0.4812 0.7239
F1 0.2191 0.7221 0.7104
F2 0.2439 0.7330 0.2758
F3 0.3309 0.2964 0.5074
F4 0.3509 0.3096 0.0524
F5 0.6491 0.6904 0.9476
F6 0.6691 0.7036 0.4926
F7 0.7561 0.2670 0.7242
F8 0.7809 0.2779 0.2896
```


Record 4
Compound: CeTlH2F8
Source: the Alexandria database
Functional: PBE
Structure: relaxed

Calculated values
Crystal system = triclinic
DOS(E_F) = 5.02 states/eV/f.u.
Uncorrected energy = -59.4 eV/cell

CIF file:
```
data_CeTlH2F8
_cell_length_a 3.8550
_cell_length_b 4.7900
_cell_length_c 8.9055
_cell_angle_alpha 90.05
_cell_angle_beta 90.02
_cell_angle_gamma 113.44
_space_group_name_H-M_alt 'P 1'
_space_group_IT_number 1
_space_group_name_Hall 'P 1'
loop_
_atom_site_label
_atom_site_fract_x
_atom_site_fract_y
_atom_site_fract_z
Ce1 0.0000 0.0000 0.0000
Tl1 0.0000 0.0000 0.5000
H1 0.0002 0.5003 0.2350
H2 0.9998 0.4997 0.7650
F1 0.0510 0.2779 0.7691
F2 0.0515 0.2786 0.2307
F3 0.3646 0.7126 0.5003
F4 0.3731 0.7150 0.0001
F5 0.6269 0.2850 0.9999
F6 0.6354 0.2874 0.4997
F7 0.9485 0.7214 0.7693
F8 0.9490 0.7221 0.2309
```


Record 5
Compound: CeTl2HF6
Source: the Alexandria database
Functional: PBE
Structure: relaxed

Calculated values
Crystal system = monoclinic
DOS(E_F) = 3.43 states/eV/f.u.
Uncorrected energy = -102.0 eV/cell

CIF file:
```
data_CeTl2HF6
_cell_length_a 6.9172
_cell_length_b 3.8721
_cell_length_c 14.8793
_cell_angle_alpha 90.00
_cell_angle_beta 117.40
_cell_angle_gamma 90.00
_space_group_name_H-M_alt 'P 1'
_space_group_IT_number 1
_space_group_name_Hall 'P 1'
loop_
_atom_site_label
_atom_site_fract_x
_atom_site_fract_y
_atom_site_fract_z
Ce1 0.0000 0.0000 0.0000
Ce2 0.0000 0.5000 0.5000
Tl1 0.3005 0.0965 0.7977
Tl2 0.3005 0.4035 0.2977
Tl3 0.6995 0.5965 0.7023
Tl4 0.6995 0.9035 0.2023
H1 0.5000 0.0000 0.5000
H2 0.5000 0.5000 0.0000
F1 0.0256 0.5583 0.6601
F2 0.0256 0.9417 0.1601
F3 0.2112 0.0152 0.5752
F4 0.2112 0.4848 0.0752
F5 0.3503 0.6296 0.9361
F6 0.3503 0.8704 0.4361
F7 0.6497 0.1296 0.5639
F8 0.6497 0.3704 0.0639
F9 0.7888 0.5152 0.9248
F10 0.7888 0.9848 0.4248
F11 0.9744 0.0583 0.8399
F12 0.9744 0.4417 0.3399
```


Record 6
Compound: CeHfF7
Source: the Alexandria database
Functional: PBE
Structure: relaxed

Calculated values
Crystal system = monoclinic
DOS(E_F) = 6.46 states/eV/f.u.
Formation energy from raw total energies = -379 kJ per mole of atoms

CIF file:
```
data_CeHfF7
_cell_length_a 6.2942
_cell_length_b 5.9358
_cell_length_c 8.5333
_cell_angle_alpha 90.00
_cell_angle_beta 102.63
_cell_angle_gamma 90.00
_space_group_name_H-M_alt 'P 1'
_space_group_IT_number 1
_space_group_name_Hall 'P 1'
loop_
_atom_site_label
_atom_site_fract_x
_atom_site_fract_y
_atom_site_fract_z
Ce1 0.1587 0.0000 0.1879
Ce2 0.8413 0.5000 0.8121
Hf1 0.3111 0.0089 0.7230
Hf2 0.6889 0.5089 0.2770
F1 0.0544 0.6900 0.0213
F2 0.0731 0.7806 0.7093
F3 0.1013 0.2681 0.7089
F4 0.2658 0.0026 0.4833
F5 0.3560 0.0167 0.9632
F6 0.4526 0.2734 0.2560
F7 0.4533 0.7414 0.2687
F8 0.5467 0.2414 0.7313
F9 0.5474 0.7734 0.7440
F10 0.6440 0.5167 0.0368
F11 0.7342 0.5026 0.5167
F12 0.8987 0.7681 0.2911
F13 0.9269 0.2806 0.2907
F14 0.9456 0.1900 0.9787
```


Record 7
Compound: Ce2HfF11
Source: the Alexandria database
Functional: PBE
Structure: relaxed

Calculated values
Crystal system = orthorhombic
DOS(E_F) = 5.69 states/eV/f.u.
Formation energy from raw total energies = -371 kJ per mole of atoms

CIF file:
```
data_Ce2HfF11
_cell_length_a 8.5156
_cell_length_b 8.5156
_cell_length_c 8.5156
_cell_angle_alpha 121.32
_cell_angle_beta 105.37
_cell_angle_gamma 102.43
_space_group_name_H-M_alt 'P 1'
_space_group_IT_number 1
_space_group_name_Hall 'P 1'
loop_
_atom_site_label
_atom_site_fract_x
_atom_site_fract_y
_atom_site_fract_z
Ce1 0.1829 0.1499 0.3328
Ce2 0.3171 0.6499 0.9670
Ce3 0.6829 0.3501 0.0330
Ce4 0.8171 0.8501 0.6672
Hf1 0.2500 0.7500 0.5000
Hf2 0.7500 0.2500 0.5000
F1 0.0000 0.0000 0.0000
F2 0.0143 0.4395 0.7489
F3 0.0757 0.8397 0.6312
F4 0.1906 0.9395 0.4253
F5 0.2085 0.4445 0.3688
F6 0.2120 0.8741 0.0861
F7 0.2880 0.3741 0.6620
F8 0.2915 0.6603 0.2360
F9 0.3094 0.7346 0.7489
F10 0.4243 0.0555 0.7640
F11 0.4857 0.2346 0.4253
F12 0.5000 0.5000 0.0000
F13 0.5143 0.7654 0.5747
F14 0.5757 0.9445 0.2360
F15 0.6906 0.2654 0.2511
F16 0.7085 0.3397 0.7640
F17 0.7120 0.6259 0.3380
F18 0.7880 0.1259 0.9139
F19 0.7915 0.5555 0.6312
F20 0.8094 0.0605 0.5747
F21 0.9243 0.1603 0.3688
F22 0.9857 0.5605 0.2511
```


Record 8
Compound: Ce2HgF11
Source: the Alexandria database
Functional: PBE
Structure: relaxed

Calculated values
Crystal system = orthorhombic
DOS(E_F) = 1.26 states/eV/f.u.
Formation energy from raw total energies = -280 kJ per mole of atoms

CIF file:
```
data_Ce2HgF11
_cell_length_a 8.8054
_cell_length_b 8.8054
_cell_length_c 8.8054
_cell_angle_alpha 120.91
_cell_angle_beta 106.94
_cell_angle_gamma 101.25
_space_group_name_H-M_alt 'P 1'
_space_group_IT_number 1
_space_group_name_Hall 'P 1'
loop_
_atom_site_label
_atom_site_fract_x
_atom_site_fract_y
_atom_site_fract_z
Ce1 0.1958 0.1683 0.3641
Ce2 0.3042 0.6683 0.9726
Ce3 0.6958 0.3317 0.0274
Ce4 0.8042 0.8317 0.6359
Hg1 0.2500 0.7500 0.5000
Hg2 0.7500 0.2500 0.5000
F1 0.0000 0.0000 0.0000
F2 0.0361 0.4623 0.7721
F3 0.0489 0.8531 0.6365
F4 0.1842 0.8941 0.0784
F5 0.1901 0.9623 0.4261
F6 0.2165 0.4124 0.3635
F7 0.2835 0.6469 0.1959
F8 0.3099 0.7360 0.7721
F9 0.3158 0.3941 0.7099
F10 0.4511 0.0876 0.8041
F11 0.4639 0.2360 0.4261
F12 0.5000 0.5000 0.0000
F13 0.5361 0.7640 0.5739
F14 0.5489 0.9124 0.1959
F15 0.6842 0.6059 0.2901
F16 0.6901 0.2640 0.2279
F17 0.7165 0.3531 0.8041
F18 0.7835 0.5876 0.6365
F19 0.8099 0.0377 0.5739
F20 0.8158 0.1059 0.9216
F21 0.9511 0.1469 0.3635
F22 0.9639 0.5377 0.2279
```


Record 9
Compound: CeHgF2
Source: the Alexandria database
Functional: PBE
Structure: relaxed

Calculated values
Crystal system = trigonal
DOS(E_F) = 5.54 states/eV/f.u.
Formation energy from raw total energies = -228 kJ per mole of atoms

CIF file:
```
data_CeHgF2
_cell_length_a 9.8831
_cell_length_b 9.8831
_cell_length_c 9.8831
_cell_angle_alpha 20.97
_cell_angle_beta 20.97
_cell_angle_gamma 20.97
_space_group_name_H-M_alt 'P 1'
_space_group_IT_number 1
_space_group_name_Hall 'P 1'
loop_
_atom_site_label
_atom_site_fract_x
_atom_site_fract_y
_atom_site_fract_z
Ce1 0.0000 0.0000 0.0000
Hg1 0.5000 0.5000 0.5000
F1 0.3791 0.3791 0.3791
F2 0.6209 0.6209 0.6209
```


Record 10
Compound: KCeHgF6
Source: the Alexandria database
Functional: PBE
Structure: relaxed

Calculated values
Crystal system = trigonal
DOS(E_F) = 4.63 states/eV/f.u.
Formation energy from raw total energies = -277 kJ per mole of atoms

CIF file:
```
data_KCeHgF6
_cell_length_a 6.5826
_cell_length_b 6.5826
_cell_length_c 9.7539
_cell_angle_alpha 90.00
_cell_angle_beta 90.00
_cell_angle_gamma 120.00
_space_group_name_H-M_alt 'P 1'
_space_group_IT_number 1
_space_group_name_Hall 'P 1'
loop_
_atom_site_label
_atom_site_fract_x
_atom_site_fract_y
_atom_site_fract_z
K1 0.0000 0.0000 0.0000
K2 0.0000 0.0000 0.5000
Ce1 0.3333 0.6667 0.2500
Ce2 0.6667 0.3333 0.7500
Hg1 0.3333 0.6667 0.7500
Hg2 0.6667 0.3333 0.2500
F1 0.0435 0.3818 0.1334
F2 0.0435 0.6616 0.3666
F3 0.3384 0.3818 0.3666
F4 0.3384 0.9565 0.1334
F5 0.3818 0.0435 0.6334
F6 0.3818 0.3384 0.8666
F7 0.6182 0.6616 0.1334
F8 0.6182 0.9565 0.3666
F9 0.6616 0.0435 0.8666
F10 0.6616 0.6182 0.6334
F11 0.9565 0.3384 0.6334
F12 0.9565 0.6182 0.8666
```


Record 11
Compound: RbCeHgF6
Source: the Alexandria database
Functional: PBE
Structure: relaxed

Calculated values
Crystal system = trigonal
DOS(E_F) = 3.02 states/eV/f.u.
Formation energy from raw total energies = -277 kJ per mole of atoms

CIF file:
```
data_RbCeHgF6
_cell_length_a 6.6801
_cell_length_b 6.6801
_cell_length_c 10.3239
_cell_angle_alpha 90.00
_cell_angle_beta 90.00
_cell_angle_gamma 120.00
_space_group_name_H-M_alt 'P 1'
_space_group_IT_number 1
_space_group_name_Hall 'P 1'
loop_
_atom_site_label
_atom_site_fract_x
_atom_site_fract_y
_atom_site_fract_z
Rb1 0.0000 0.0000 0.0000
Rb2 0.0000 0.0000 0.5000
Ce1 0.3333 0.6667 0.2500
Ce2 0.6667 0.3333 0.7500
Hg1 0.3333 0.6667 0.7500
Hg2 0.6667 0.3333 0.2500
F1 0.0486 0.3923 0.1383
F2 0.0486 0.6562 0.3617
F3 0.3438 0.3923 0.3617
F4 0.3438 0.9514 0.1383
F5 0.3923 0.0486 0.6383
F6 0.3923 0.3438 0.8617
F7 0.6077 0.6562 0.1383
F8 0.6077 0.9514 0.3617
F9 0.6562 0.0486 0.8617
F10 0.6562 0.6077 0.6383
F11 0.9514 0.3438 0.6383
F12 0.9514 0.6077 0.8617
```


Record 12
Compound: CeTlHgF6
Source: the Alexandria database
Functional: PBE
Structure: relaxed

Calculated values
Crystal system = trigonal
DOS(E_F) = 3.25 states/eV/f.u.
Formation energy from raw total energies = -254 kJ per mole of atoms

CIF file:
```
data_CeTlHgF6
_cell_length_a 6.6216
_cell_length_b 6.6216
_cell_length_c 10.5365
_cell_angle_alpha 90.00
_cell_angle_beta 90.00
_cell_angle_gamma 120.00
_space_group_name_H-M_alt 'P 1'
_space_group_IT_number 1
_space_group_name_Hall 'P 1'
loop_
_atom_site_label
_atom_site_fract_x
_atom_site_fract_y
_atom_site_fract_z
Ce1 0.3333 0.6667 0.2500
Ce2 0.6667 0.3333 0.7500
Tl1 0.0000 0.0000 0.0000
Tl2 0.0000 0.0000 0.5000
Hg1 0.3333 0.6667 0.7500
Hg2 0.6667 0.3333 0.2500
F1 0.0469 0.3901 0.1389
F2 0.0469 0.6568 0.3611
F3 0.3432 0.3901 0.3611
F4 0.3432 0.9531 0.1389
F5 0.3901 0.0469 0.6389
F6 0.3901 0.3432 0.8611
F7 0.6099 0.6568 0.1389
F8 0.6099 0.9531 0.3611
F9 0.6568 0.0469 0.8611
F10 0.6568 0.6099 0.6389
F11 0.9531 0.3432 0.6389
F12 0.9531 0.6099 0.8611
```